i:
A PBEsol-optimized structure of CdRe2Hg, computed with SCAN.

Computed properties:
The total magnetization is 0.00 μB per cell.

Cell: 3.045 4.820 5.563 Å, 115.67 105.88 90.00°
Sites, in units of the cell vectors:
Cd 0.489 0.489 0.977
Hg 0.263 0.763 0.526
Re 0.025 0.025 0.050
Re 0.724 0.224 0.448


ii:
A PBEsol-optimized structure of CdRe2Hg, computed with SCAN.

Computed properties:
The total magnetization is 0.00 μB per cell.

Cell: 3.200 3.200 6.420 Å, 90.00 90.00 90.00°
Sites, in units of the cell vectors:
Re 0.000 0.000 0.748
Re 0.000 0.000 0.252
Cd 0.500 0.500 0.000
Hg 0.500 0.500 0.500


iii:
A PBEsol-optimized structure of CdRe2Hg, computed with SCAN.

Computed properties:
The total magnetization is 0.00 μB per cell.

Cell: 2.820 4.802 5.234 Å, 97.04 90.00 107.08°
Sites, in units of the cell vectors:
Hg 0.747 0.494 0.262
Re 0.254 0.508 0.786
Re 0.996 0.993 0.962
Cd 0.502 0.005 0.490


iv:
A PBEsol-optimized structure of CdRe2Hg, computed with SCAN.

Computed properties:
The total magnetization is 0.00 μB per cell.

Cell: 2.807 4.462 5.502 Å, 90.00 90.00 90.00°
Sites, in units of the cell vectors:
Re 0.000 0.000 0.217
Re 0.000 0.000 0.783
Cd 0.500 0.500 0.000
Hg 0.500 0.500 0.500


Which structure is the most stable? The one labeled iii.


i:
A PBEsol-optimized structure of CdRe2Hg, computed with SCAN.

Computed properties:
The total magnetization is 0.00 μB per cell.

Cell: 2.836 2.836 9.692 Å, 81.59 81.59 60.00°
Sites, in units of the cell vectors:
Hg 0.000 0.000 0.000
Re 0.750 0.750 0.750
Re 0.250 0.250 0.250
Cd 0.500 0.500 0.500


ii:
A PBEsol-optimized structure of CdRe2Hg, computed with SCAN.

Computed properties:
The total magnetization is 0.00 μB per cell.

Cell: 3.841 3.841 5.318 Å, 111.17 111.17 90.00°
Sites, in units of the cell vectors:
Cd 0.500 0.500 0.000
Re 0.750 0.250 0.500
Re 0.250 0.750 0.500
Hg 0.000 0.000 0.000


Which structure is the most stable? The one labeled i.


i:
A PBEsol-optimized structure of CdHgSb2, computed with SCAN.

Computed properties:
The total magnetization is 0.00 μB per cell.

Cell: 4.074 5.225 4.629 Å, 90.00 90.00 90.00°
Sites, in units of the cell vectors:
Sb 0.500 0.500 0.000
Sb 0.000 0.000 0.000
Cd 0.500 0.000 0.500
Hg 0.000 0.500 0.500


ii:
A PBEsol-optimized structure of CdHgSb2, computed with SCAN.

Computed properties:
The total magnetization is 0.00 μB per cell.

Cell: 5.173 5.173 5.173 Å, 60.00 60.00 60.00°
Sites, in units of the cell vectors:
Sb 0.750 0.750 0.750
Sb 0.250 0.250 0.250
Cd 0.000 0.000 0.000
Hg 0.500 0.500 0.500


Which structure is the most stable? The one labeled i.


i:
A PBEsol-optimized structure of Cd2HgSb, computed with SCAN.

Computed properties:
The total magnetization is 0.00 μB per cell.

Cell: 3.505 4.606 6.618 Å, 101.13 90.00 112.36°
Sites, in units of the cell vectors:
Sb 0.000 0.000 0.500
Hg 0.500 0.000 0.000
Cd 0.247 0.494 0.237
Cd 0.753 0.506 0.763


ii:
A PBEsol-optimized structure of Cd2HgSb, computed with SCAN.

Computed properties:
The total magnetization is 0.00 μB per cell.

Cell: 3.177 6.127 5.244 Å, 90.00 90.00 108.74°
Sites, in units of the cell vectors:
Sb 0.368 0.875 0.500
Cd 0.865 0.876 0.000
Cd 0.884 0.374 0.500
Hg 0.384 0.375 0.000


iii:
A PBEsol-optimized structure of Cd2HgSb, computed with SCAN.

Computed properties:
The total magnetization is 0.00 μB per cell.

Cell: 3.220 3.220 8.905 Å, 90.00 90.00 93.77°
Sites, in units of the cell vectors:
Cd 0.000 0.000 0.984
Cd 0.500 0.500 0.754
Sb 0.500 0.500 0.244
Hg 0.000 0.000 0.518


Which structure is the most stable? The one labeled i.


i:
A PBEsol-optimized structure of Sc2CdHg, computed with SCAN.

Computed properties:
The total magnetization is 0.00 μB per cell.

Cell: 3.347 3.347 9.375 Å, 79.72 79.72 60.00°
Sites, in units of the cell vectors:
Sc 0.748 0.748 0.755
Sc 0.252 0.252 0.245
Hg 0.000 0.000 0.000
Cd 0.500 0.500 0.500


ii:
A PBEsol-optimized structure of Sc2CdHg, computed with SCAN.

Computed properties:
The total magnetization is 1.99 μB per cell.

Cell: 4.888 4.888 4.888 Å, 60.00 60.00 60.00°
Sites, in units of the cell vectors:
Cd 0.500 0.500 0.500
Sc 0.000 0.000 0.000
Sc 0.750 0.750 0.750
Hg 0.250 0.250 0.250


iii:
A PBEsol-optimized structure of Sc2CdHg, computed with SCAN.

Computed properties:
The total magnetization is 0.00 μB per cell.

Cell: 3.476 3.476 6.912 Å, 90.00 90.00 90.00°
Sites, in units of the cell vectors:
Sc 0.000 0.000 0.252
Sc 0.000 0.000 0.748
Hg 0.500 0.500 0.500
Cd 0.500 0.500 0.000


iv:
A PBEsol-optimized structure of Sc2CdHg, computed with SCAN.

Computed properties:
The total magnetization is 1.32 μB per cell.

Cell: 3.274 3.274 9.814 Å, 80.40 80.40 60.00°
Sites, in units of the cell vectors:
Sc 0.996 0.996 0.011
Sc 0.752 0.752 0.745
Hg 0.250 0.250 0.249
Cd 0.502 0.502 0.495


Which structure is the most stable? The one labeled iii.


i:
A PBEsol-optimized structure of CdSnHg2, computed with SCAN.

Computed properties:
The total magnetization is 0.00 μB per cell.

Cell: 5.088 5.088 5.088 Å, 60.00 60.00 60.00°
Sites, in units of the cell vectors:
Hg 0.250 0.250 0.250
Hg 0.750 0.750 0.750
Sn 0.500 0.500 0.500
Cd 0.000 0.000 0.000


ii:
A PBEsol-optimized structure of CdSnHg2, computed with SCAN.

Computed properties:
The total magnetization is 0.00 μB per cell.

Cell: 4.286 4.286 10.986 Å, 101.25 101.25 90.00°
Sites, in units of the cell vectors:
Hg 0.381 0.875 0.250
Hg 0.869 0.375 0.250
Hg 0.625 0.619 0.750
Hg 0.125 0.131 0.750
Cd 0.750 0.250 0.500
Cd 0.500 0.500 0.000
Sn 0.250 0.750 0.500
Sn 0.000 0.000 0.000


Which structure is the most stable? The one labeled ii.


i:
A PBEsol-optimized structure of TlCd2Hg, computed with SCAN.

Computed properties:
The total magnetization is 0.00 μB per cell.

Cell: 6.054 6.518 6.518 Å, 77.54 62.33 62.33°
Sites, in units of the cell vectors:
Cd 0.139 0.986 0.486
Cd 0.875 0.514 0.986
Cd 0.375 0.486 0.014
Cd 0.611 0.014 0.514
Tl 0.750 0.500 0.500
Tl 0.000 0.000 0.000
Hg 0.500 0.000 0.000
Hg 0.250 0.500 0.500


ii:
A PBEsol-optimized structure of TlCd2Hg, computed with SCAN.

Computed properties:
The total magnetization is 0.00 μB per cell.

Cell: 4.423 4.423 5.706 Å, 112.81 112.81 90.00°
Sites, in units of the cell vectors:
Tl 0.250 0.750 0.500
Hg 0.500 0.500 0.000
Cd 0.000 0.000 0.000
Cd 0.750 0.250 0.500


Which structure is the most stable? The one labeled ii.


i:
A PBEsol-optimized structure of TlCd2Hg, computed with SCAN.

Computed properties:
The total magnetization is 0.00 μB per cell.

Cell: 4.637 4.637 5.457 Å, 115.14 115.14 90.00°
Sites, in units of the cell vectors:
Tl 0.000 0.000 0.000
Hg 0.500 0.500 0.000
Cd 0.250 0.750 0.500
Cd 0.750 0.250 0.500


ii:
A PBEsol-optimized structure of TlCd2Hg, computed with SCAN.

Computed properties:
The total magnetization is 0.00 μB per cell.

Cell: 3.226 3.226 10.171 Å, 90.00 90.00 115.84°
Sites, in units of the cell vectors:
Tl 0.500 0.500 0.000
Hg 0.500 0.500 0.500
Cd 0.000 0.000 0.263
Cd 0.000 0.000 0.737


Which structure is the most stable? The one labeled i.